# Tl2HgIr (GGA-PBE, relaxed)
data_Tl2HgIr
_cell_length_a 14.816
_cell_length_b 3.128
_cell_length_c 4.640
_cell_angle_alpha 90.00
_cell_angle_beta 108.13
_cell_angle_gamma 90.00
_space_group_name_H-M_alt 'C 1 2/m 1'
_space_group_IT_number 12
loop_
_space_group_symop_operation_xyz
'x,y,z'
'-x,-y,-z'
'-x,y,-z'
'x,-y,z'
'x+1/2,y+1/2,z'
'-x+1/2,-y+1/2,-z'
'-x+1/2,y+1/2,-z'
'x+1/2,-y+1/2,z'
loop_
_atom_site_label
_atom_site_fract_x
_atom_site_fract_y
_atom_site_fract_z
Tl1 0.175 0.000 0.175
Hg1 0.000 0.000 0.500
Ir1 0.000 0.500 0.000
# Crystal system: monoclinic
# Energy above the lowest structure with this stoichiometry, kJ/mol of formula units: 0
# VASP energy, eV per atom: -3.227
# Spin magnetization, μB/cell: 0.00